(1)
PBE SiSb2IrN, relaxed; space-group type = P4/mmm (123); formation energy (no corrections) = 598 meV/atom; magnetization = 0.00 μB per formula unit
1.0
5.281 0.000 0.000
0.000 3.282 0.000
0.000 0.000 5.281
Sb Si Ir N
2 1 1 1
Cartesian
0.000 0.000 2.640
2.640 0.000 0.000
0.000 0.000 0.000
2.640 1.641 2.640
0.000 1.641 0.000

---

(2)
PBE TaSbIr2N, relaxed; space-group type = P4/mmm (123); formation energy (no corrections) = 2271 meV/atom; magnetization = 2.27 μB per formula unit
1.0
-2.738 3.894 -0.581
-1.185 -1.586 -5.047
-3.795 -2.422 1.653
Sb N Ir Ta
1 1 2 1
Cartesian
-0.593 -0.793 -2.523
-3.860 -0.057 -1.988
-1.898 -1.211 0.826
-1.369 1.947 -0.290
0.000 0.000 0.000

---

(3)
PBE TcSbIr2N, relaxed; space-group type = P4/mmm (123); formation energy (no corrections) = 2057 meV/atom; magnetization = 5.32 μB per formula unit
1.0
-4.721 -1.327 0.628
0.211 -2.288 -3.245
1.445 -3.820 2.787
Sb Ir Tc N
1 2 1 1
Cartesian
0.000 0.000 0.000
0.722 -1.910 1.394
-2.361 -0.664 0.314
-1.533 -3.718 0.085
0.106 -1.144 -1.623

---

(4)
PBE SbTeIrN2, relaxed; space-group type = P4/mmm (123); formation energy (no corrections) = 1071 meV/atom; magnetization = 0.31 μB per formula unit
1.0
3.937 0.000 0.000
0.000 3.937 0.000
0.000 0.000 6.321
Sb Ir Te N
1 1 1 2
Cartesian
1.968 1.968 3.160
0.000 0.000 0.000
0.000 0.000 3.160
0.000 1.968 0.000
1.968 0.000 0.000

---

(5)
PBE Sb2TeIrN, relaxed; space-group type = P4/mmm (123); formation energy (no corrections) = 840 meV/atom; magnetization = 0.00 μB per formula unit
1.0
4.641 0.000 0.000
0.000 4.641 0.000
0.000 0.000 4.538
Sb Ir Te N
2 1 1 1
Cartesian
0.000 2.320 0.000
2.320 0.000 0.000
2.320 2.320 2.269
0.000 0.000 2.269
0.000 0.000 0.000

---

(6)
PBE SbTeIrN2, relaxed; space-group type = P4/mmm (123); formation energy (no corrections) = 1657 meV/atom; magnetization = 0.50 μB per formula unit
1.0
-1.738 -3.306 -1.028
-0.176 -1.064 3.720
-7.379 3.662 0.698
Sb Ir Te N
1 1 1 2
Cartesian
0.000 0.000 0.000
-4.646 -0.354 1.695
-3.689 1.831 0.349
-0.088 -0.532 1.860
-0.869 -1.653 -0.514

---

(7)
PBE Sb2TeIrN, relaxed; space-group type = P4/mmm (123); formation energy (no corrections) = 1593 meV/atom; magnetization = 0.05 μB per formula unit
1.0
-0.736 -1.691 4.728
4.910 -1.241 0.320
1.110 4.886 1.921
Sb Ir Te N
2 1 1 1
Cartesian
2.455 -0.621 0.160
-0.368 -0.846 2.364
0.000 0.000 0.000
0.555 2.443 0.960
2.642 0.976 3.484

---

(8)
PBE VSbIrN2, relaxed; space-group type = P4/mmm (123); formation energy (no corrections) = 979 meV/atom; magnetization = 2.44 μB per formula unit
1.0
3.815 0.000 0.000
0.000 5.898 0.000
0.000 0.000 3.815
Sb N Ir V
1 2 1 1
Cartesian
0.000 2.949 0.000
0.000 0.000 1.908
1.908 0.000 0.000
0.000 0.000 0.000
1.908 2.949 1.908

---

(9)
PBE Sc3IrN, relaxed; space-group type = Pm-3m (221); formation energy (no corrections) = -1099 meV/atom; magnetization = 0.00 μB per formula unit
1.0
-0.832 -0.603 4.218
-0.428 -4.264 -0.694
4.240 -0.549 0.757
Sc Ir N
3 1 1
Cartesian
-0.214 -2.132 -0.347
2.120 -0.275 0.379
-0.416 -0.302 2.109
1.490 -2.708 2.141
0.000 0.000 0.000

---

(10)
PBE ScIrN, relaxed; space-group type = Cmc2_1 (36); formation energy (no corrections) = -685 meV/atom; magnetization = 0.00 μB per formula unit
1.0
-2.387 -2.456 -0.438
3.326 -1.555 -9.405
3.266 -3.485 1.731
Sc Ir N
4 4 4
Cartesian
1.406 -0.844 -2.926
4.178 -3.119 -5.282
1.875 -2.850 -7.848
1.321 -3.570 -0.799
0.138 -0.072 -0.346
4.847 -3.253 -8.179
0.607 -2.077 -5.268
1.991 -3.703 -3.696
5.521 -4.193 -6.577
1.553 -1.360 -0.841
2.664 -4.644 -2.094
2.022 -3.365 -5.763

---

(11)
PBE ScIrN2, relaxed; space-group type = R-3m (166); formation energy (no corrections) = -256 meV/atom; magnetization = 0.00 μB per formula unit
1.0
1.862 0.000 5.994
-0.931 1.613 5.994
-0.931 -1.613 5.994
Sc Ir N
1 1 2
Cartesian
0.000 0.000 8.991
0.000 0.000 0.000
0.000 0.000 16.132
0.000 0.000 1.851

---

(12)
PBE ScIrN, relaxed; space-group type = Ama2 (40); formation energy (no corrections) = -638 meV/atom; magnetization = 0.00 μB per formula unit
1.0
3.474 0.000 0.000
0.000 11.966 0.000
0.000 0.000 4.589
Sc Ir N
4 4 4
Cartesian
0.868 10.080 4.396
2.605 1.886 4.396
0.868 4.097 2.102
2.605 7.869 2.102
0.868 0.872 1.875
2.605 11.094 1.875
0.868 6.855 4.169
2.605 5.111 4.169
0.868 2.277 3.150
2.605 9.689 3.150
0.868 8.260 0.855
2.605 3.706 0.855

---

(13)
PBE ScIrN, relaxed; space-group type = Cm (8); formation energy (no corrections) = -691 meV/atom; magnetization = 0.00 μB per formula unit
1.0
-3.553 -1.438 -3.440
-1.663 -1.310 2.266
-3.703 9.127 2.559
Sc Ir N
4 4 4
Cartesian
-3.072 0.036 -2.235
-5.756 3.944 0.177
-2.713 2.500 -0.547
-5.397 6.408 1.866
-6.603 6.518 -1.079
-5.583 1.299 -1.226
-2.975 5.158 0.798
-1.955 -0.060 0.652
-4.787 5.890 -0.109
-3.767 0.671 -0.255
-4.842 3.165 -1.724
-7.525 7.073 0.688

---

(14)
PBE ScIrN, relaxed; space-group type = P-1 (2); formation energy (no corrections) = -712 meV/atom; magnetization = 0.00 μB per formula unit
1.0
2.988 0.000 0.004
1.219 5.166 0.008
0.684 0.116 5.383
Sc Ir N
2 2 2
Cartesian
3.190 3.727 3.625
1.701 1.555 1.769
1.694 4.330 0.909
3.198 0.951 4.485
1.693 2.175 3.840
3.198 3.107 1.554

---

(15)
PBE ScIrN2, relaxed; space-group type = Fm-3m (225); formation energy (no corrections) = 131 meV/atom; magnetization = 0.00 μB per formula unit
1.0
-2.402 -2.341 1.995
-3.546 1.263 1.030
-3.174 -1.470 -1.730
Sc Ir N
1 1 2
Cartesian
0.000 0.000 0.000
-4.561 -1.274 0.647
-2.281 -0.637 0.324
-6.842 -1.911 0.971

---

(16)
PBE ScIrN, relaxed; space-group type = Cm (8); formation energy (no corrections) = -623 meV/atom; magnetization = 0.00 μB per formula unit
1.0
5.698 0.000 0.003
0.000 3.267 0.000
-1.744 0.000 8.743
Sc Ir N
4 4 4
Cartesian
1.312 0.000 5.210
2.184 1.633 0.838
4.845 0.000 0.922
3.973 1.633 5.294
-0.725 0.000 7.602
0.147 1.633 3.230
3.100 0.000 3.059
2.228 1.633 7.431
3.180 0.000 6.479
4.052 1.633 2.107
1.239 0.000 8.392
2.111 1.633 4.021

---

(17)
PBE ScIrN2, relaxed; space-group type = I-42d (122); formation energy (no corrections) = -382 meV/atom; magnetization = 0.00 μB per formula unit
1.0
4.542 0.000 0.000
0.000 4.542 0.000
2.271 2.271 5.166
Sc Ir N
2 2 4
Cartesian
2.271 2.271 0.000
2.271 4.542 2.583
0.000 0.000 0.000
4.542 2.271 2.583
3.524 1.136 1.292
1.019 3.407 1.292
3.407 3.290 3.875
5.678 5.795 3.875

---

(18)
PBE Sc3IrN, relaxed; space-group type = Pm-3m (221); formation energy (no corrections) = 605 meV/atom; magnetization = 0.00 μB per formula unit
1.0
4.962 0.000 0.000
0.000 4.962 0.000
0.000 0.000 4.962
Sc Ir N
3 1 1
Cartesian
0.000 2.481 0.000
0.000 0.000 2.481
2.481 0.000 0.000
0.000 0.000 0.000
2.481 2.481 2.481

---

(19)
PBE ScIrN, relaxed; space-group type = P4/mmm (123); formation energy (no corrections) = -903 meV/atom; magnetization = 0.00 μB per formula unit
1.0
3.130 0.000 0.000
0.000 3.130 0.000
0.000 0.000 4.025
Sc Ir N
1 1 1
Cartesian
0.000 0.000 0.000
1.565 1.565 2.013
1.565 1.565 0.000

---

(20)
PBE Sc2TcIrN, relaxed; space-group type = P4/mmm (123); formation energy (no corrections) = 1202 meV/atom; magnetization = 0.52 μB per formula unit
1.0
-3.290 3.168 -2.080
1.835 -0.812 -4.139
-3.217 -3.790 -0.683
Sc Ir Tc N
2 1 1 1
Cartesian
-1.609 -1.895 -0.341
-1.645 1.584 -1.040
0.000 0.000 0.000
0.917 -0.406 -2.070
-2.337 -0.717 -3.451

---

(21)
PBE Sc2TcIrN, relaxed; space-group type = P4/mmm (123); formation energy (no corrections) = -847 meV/atom; magnetization = 0.00 μB per formula unit
1.0
4.447 0.000 0.000
0.000 3.836 0.000
0.000 0.000 4.447
Sc Ir Tc N
2 1 1 1
Cartesian
0.000 0.000 2.223
2.223 0.000 0.000
2.223 1.918 2.223
0.000 1.918 0.000
0.000 0.000 0.000

---

(22)
PBE ScTe2IrN, relaxed; space-group type = P4/mmm (123); formation energy (no corrections) = -45 meV/atom; magnetization = 0.00 μB per formula unit
1.0
5.498 0.000 0.000
0.000 5.498 0.000
0.000 0.000 3.705
Sc Ir Te N
1 1 2 1
Cartesian
2.749 2.749 1.853
0.000 0.000 0.000
0.000 2.749 0.000
2.749 0.000 0.000
0.000 0.000 1.853

---

(23)
PBE ScTe2IrN, relaxed; space-group type = P4/mmm (123); formation energy (no corrections) = 799 meV/atom; magnetization = 0.60 μB per formula unit
1.0
-4.099 3.139 2.006
-0.763 -3.627 4.117
2.452 1.863 2.096
Sc Ir Te N
1 1 2 1
Cartesian
0.000 0.000 0.000
-1.205 0.688 4.109
-0.381 -1.813 2.058
-2.050 1.570 1.003
1.226 0.932 1.048

---

(24)
PBE Sc2VIrN, relaxed; space-group type = P4/mmm (123); formation energy (no corrections) = 1312 meV/atom; magnetization = 1.28 μB per formula unit
1.0
4.926 0.000 0.000
0.000 4.302 0.000
0.000 0.000 4.926
Sc N Ir V
2 1 1 1
Cartesian
0.000 0.000 2.463
2.463 0.000 0.000
2.463 2.151 2.463
0.000 2.151 0.000
0.000 0.000 0.000

---

(25)
PBE YScIr2N, relaxed; space-group type = P4/mmm (123); formation energy (no corrections) = 1814 meV/atom; magnetization = 1.71 μB per formula unit
1.0
-1.390 -4.334 0.303
5.327 -1.571 1.950
-1.355 0.735 4.293
Y Sc Ir N
1 1 2 1
Cartesian
2.663 -0.786 0.975
0.000 0.000 0.000
-0.677 0.367 2.147
-0.695 -2.167 0.152
1.291 -2.585 3.273

---

(26)
PBE Y2ScIrN, relaxed; space-group type = P4/mmm (123); formation energy (no corrections) = -976 meV/atom; magnetization = 0.00 μB per formula unit
1.0
-1.785 -0.389 4.425
-3.716 -2.482 -1.717
2.133 -3.572 0.546
Y Sc Ir N
2 1 1 1
Cartesian
-1.858 -1.241 -0.859
-0.892 -0.195 2.213
1.067 -1.786 0.273
-1.684 -3.222 1.627
0.000 0.000 0.000

---

(27)
PBE ScZnIrN2, relaxed; space-group type = P4/mmm (123); formation energy (no corrections) = 1544 meV/atom; magnetization = 1.79 μB per formula unit
1.0
-0.695 -1.636 3.380
4.725 1.637 1.764
-1.588 3.243 1.243
Sc Zn Ir N
1 1 1 2
Cartesian
2.363 0.819 0.882
0.000 0.000 0.000
1.221 1.622 3.194
-0.794 1.622 0.622
-0.348 -0.818 1.690